[1]
First-principles (PBE) data for a geometry-optimized Ir3Os5 structure, as listed in the Alexandria database.

Values from the calculation:
energy above the most stable polymorph in this dataset: 7 meV/atom
ΔH_f (0 K): 0.013 eV per atom
raw total energy: -82.63 eV per formula unit
total magnetization: 0.0 μB/f.u.

abc: 2.759 4.360 9.562
angles: 90.00 90.00 90.00
Fractional coordinates of all 8 atoms:
Ir (0.000, 0.000, 0.000)
Ir (0.000, 0.500, 0.168)
Ir (0.500, 0.000, 0.254)
Os (0.000, 0.000, 0.504)
Os (0.000, 0.500, 0.668)
Os (0.500, 0.000, 0.750)
Os (0.500, 0.500, 0.421)
Os (0.500, 0.500, 0.917)


[2]
First-principles (PBE) data for a geometry-optimized PrPuMg structure, as listed in the Alexandria database.

Values from the calculation:
energy above the most stable polymorph in this dataset: 42 meV/atom
ΔH_f (0 K): 0.175 eV per atom
raw total energy: -20.18 eV per formula unit
total magnetization: 5.9 μB/f.u.

abc: 3.456 3.456 8.562
angles: 90.00 90.00 120.00
Fractional coordinates of all 3 atoms:
Pr (0.000, 0.000, 0.000)
Pu (0.333, 0.667, 0.651)
Mg (0.667, 0.333, 0.334)